No. 1
A plane-wave DFT calculation with PBE was carried out for an optimized crystal structure of AcAsAu2.

Structure (POSCAR):
```
AcAsAu2
1.0
4.976 0.000 0.000
0.000 4.451 0.000
0.000 0.000 4.451
Au Ac As
2 1 1
direct
0.000 0.500 0.000
0.000 0.000 0.500
0.500 0.500 0.500
0.500 0.000 0.000
```

Calculated values
- ΔH_f (0 K): -523 meV per atom
- D(E_F): 1.71 states/eV/cell
- VASP energy: -17.4 eV/cell


No. 2
A plane-wave DFT calculation with PBE was carried out for an optimized crystal structure of Ac6As5Au.

Structure (POSCAR):
```
Ac6As5Au
1.0
-7.858 0.131 -0.425
3.551 -3.427 6.131
1.340 7.568 1.775
As Au Ac
5 1 6
direct
0.334 0.666 0.000
0.834 0.166 0.500
0.166 0.834 0.500
0.666 0.334 0.000
0.500 0.500 0.500
0.000 0.000 0.000
0.742 0.742 0.258
0.569 0.915 0.746
0.258 0.258 0.742
0.085 0.431 0.254
0.431 0.085 0.254
0.915 0.569 0.746
```

Calculated values
- ΔH_f (0 K): -1334 meV per atom
- D(E_F): 6.22 states/eV/cell
- VASP energy: -67.2 eV/cell


No. 3
A plane-wave DFT calculation with PBE was carried out for an optimized crystal structure of AcAs2Au2.

Structure (POSCAR):
```
AcAs2Au2
1.0
6.855 -0.844 -0.059
-3.120 6.162 -0.059
-1.949 -2.775 6.239
As Au Ac
4 4 2
direct
0.207 0.293 0.750
0.598 0.902 0.750
0.402 0.098 0.250
0.793 0.707 0.250
0.771 0.127 0.485
0.229 0.873 0.515
0.627 0.271 0.985
0.373 0.729 0.015
0.856 0.644 0.750
0.144 0.356 0.250
```

Calculated values
- ΔH_f (0 K): -537 meV per atom
- D(E_F): 3.42 states/eV/cell
- VASP energy: -45.3 eV/cell
- Offset from the most stable computed form: 0.26 eV per formula unit


No. 4
A plane-wave DFT calculation with PBE was carried out for an optimized crystal structure of Ac2As3Au6.

Structure (POSCAR):
```
Ac2As3Au6
1.0
4.457 0.000 0.000
0.000 6.998 -4.041
0.000 0.000 8.081
Ac Au As
2 6 3
direct
0.000 0.667 0.333
0.000 0.333 0.667
0.000 0.000 0.799
0.500 0.695 0.695
0.000 0.799 0.000
0.000 0.201 0.201
0.500 0.000 0.305
0.500 0.305 0.000
0.500 0.628 0.000
0.500 0.000 0.628
0.500 0.372 0.372
```

Calculated values
- ΔH_f (0 K): -514 meV per atom
- D(E_F): 4.50 states/eV/cell
- VASP energy: -47.5 eV/cell


No. 5
A plane-wave DFT calculation with PBE was carried out for an optimized crystal structure of Ac2AsAu.

Structure (POSCAR):
```
Ac2AsAu
1.0
3.939 0.000 0.000
0.000 3.939 0.000
0.000 0.000 7.567
Ac As Au
2 1 1
direct
0.000 0.000 0.260
0.000 0.000 0.740
0.500 0.500 0.500
0.500 0.500 0.000
```

Calculated values
- ΔH_f (0 K): -955 meV per atom
- D(E_F): 2.32 states/eV/cell
- VASP energy: -20.0 eV/cell
- Offset from the most stable computed form: 0.61 eV per formula unit


No. 6
A plane-wave DFT calculation with PBE was carried out for an optimized crystal structure of Ac4As6Au5.

Structure (POSCAR):
```
Ac4As6Au5
1.0
4.415 0.000 0.000
-2.208 10.620 0.000
0.000 0.000 16.537
As Au Ac
12 10 8
direct
0.215 0.430 0.507
0.431 0.862 0.856
0.109 0.218 0.119
0.785 0.570 0.007
0.783 0.566 0.247
0.580 0.159 0.908
0.891 0.782 0.619
0.217 0.434 0.747
0.555 0.110 0.629
0.420 0.841 0.408
0.445 0.890 0.129
0.569 0.138 0.356
0.436 0.873 0.689
0.331 0.662 0.300
0.695 0.390 0.120
0.334 0.668 0.948
0.564 0.127 0.189
0.133 0.265 0.622
0.666 0.332 0.448
0.867 0.735 0.122
0.669 0.338 0.800
0.305 0.610 0.620
0.983 0.965 0.996
0.819 0.638 0.455
0.181 0.362 0.955
0.173 0.347 0.291
0.827 0.653 0.791
0.963 0.925 0.271
0.037 0.075 0.771
0.017 0.035 0.496
```

Calculated values
- ΔH_f (0 K): -804 meV per atom
- D(E_F): 9.66 states/eV/cell
- VASP energy: -145.5 eV/cell


No. 7
A plane-wave DFT calculation with PBE was carried out for an optimized crystal structure of BaAcAs2Au2.

Structure (POSCAR):
```
BaAcAs2Au2
1.0
4.566 0.000 0.000
-2.283 3.954 0.000
0.000 0.000 9.076
Au Ac Ba As
2 1 1 2
direct
0.333 0.667 0.722
0.667 0.333 0.278
0.000 0.000 0.500
0.000 0.000 0.000
0.667 0.333 0.749
0.333 0.667 0.251
```

Calculated values
- ΔH_f (0 K): -943 meV per atom
- D(E_F): 3.10 states/eV/cell
- VASP energy: -27.5 eV/cell


No. 8
A plane-wave DFT calculation with PBE was carried out for an optimized crystal structure of BaAcAsAu.

Structure (POSCAR):
```
BaAcAsAu
1.0
-1.416 -4.276 3.298
1.657 -5.176 -1.275
3.884 -2.533 3.108
Ac Ba Au As
1 1 1 1
direct
0.250 0.250 0.250
0.750 0.750 0.750
0.500 0.500 0.500
0.000 0.000 0.000
```

Calculated values
- ΔH_f (0 K): -853 meV per atom
- D(E_F): 3.79 states/eV/cell
- VASP energy: -17.4 eV/cell


No. 9
A plane-wave DFT calculation with PBE was carried out for an optimized crystal structure of AcBeAs2Au.

Structure (POSCAR):
```
AcBeAs2Au
1.0
5.953 0.000 0.000
-2.976 5.240 0.000
0.000 0.000 7.353
Au Be Ac As
2 2 2 4
direct
0.500 0.000 0.500
0.000 0.000 0.500
0.750 0.000 0.000
0.250 0.000 0.000
0.250 0.500 0.200
0.750 0.500 0.800
0.904 0.808 0.189
0.096 0.192 0.811
0.404 0.808 0.811
0.596 0.192 0.189
```

Calculated values
- ΔH_f (0 K): -541 meV per atom
- D(E_F): 2.92 states/eV/cell
- VASP energy: -46.2 eV/cell


No. 10
A plane-wave DFT calculation with PBE was carried out for an optimized crystal structure of AcBiAsAu.

Structure (POSCAR):
```
AcBiAsAu
1.0
-4.022 2.618 -2.368
-4.445 1.133 2.756
-1.079 5.058 1.377
Au As Ac Bi
1 1 1 1
direct
0.750 0.750 0.750
0.250 0.250 0.250
0.000 0.000 0.000
0.500 0.500 0.500
```

Calculated values
- ΔH_f (0 K): -558 meV per atom
- D(E_F): 3.25 states/eV/cell
- VASP energy: -18.1 eV/cell


No. 11
A plane-wave DFT calculation with PBE was carried out for an optimized crystal structure of CaAcAs2Au2.

Structure (POSCAR):
```
CaAcAs2Au2
1.0
-2.925 2.916 -1.822
-0.623 -1.483 4.217
4.536 6.369 2.910
Au As Ca Ac
2 2 1 1
direct
0.667 0.333 0.250
0.333 0.667 0.750
0.667 0.333 0.732
0.333 0.667 0.268
0.000 0.000 0.500
0.000 0.000 0.000
```

Calculated values
- ΔH_f (0 K): -908 meV per atom
- D(E_F): 2.60 states/eV/cell
- VASP energy: -27.4 eV/cell


No. 12
A plane-wave DFT calculation with PBE was carried out for an optimized crystal structure of AcCdAsAu.

Structure (POSCAR):
```
AcCdAsAu
1.0
-0.743 4.178 3.105
-3.624 -0.165 3.806
1.487 -0.173 5.040
Au Ac Cd As
1 1 1 1
direct
0.250 0.250 0.250
0.500 0.500 0.500
0.000 0.000 0.000
0.750 0.750 0.750
```

Calculated values
- ΔH_f (0 K): -605 meV per atom
- D(E_F): 1.36 states/eV/cell
- VASP energy: -15.4 eV/cell